! CdGaPb4 (PBE, optimized geometry); values from VASP
&SYSTEM
  ibrav = 0, nat = 6, ntyp = 3
/
ATOMIC_SPECIES
Pb 207.20 Pb.upf
Ga 69.72 Ga.upf
Cd 112.41 Cd.upf
CELL_PARAMETERS angstrom
3.500 -0.001 0.000
0.001 3.500 0.000
-0.001 -0.001 13.809
ATOMIC_POSITIONS angstrom
Pb 1.749 1.749 11.731
Pb 3.500 3.498 9.133
Pb 0.000 0.000 4.676
Pb 1.750 1.750 2.077
Ga 0.000 0.000 0.000
Cd 1.750 1.749 6.904
! - calculated formation energy (eV/f.u.) = 0.28
! - final energy (eV per atom) = -3.08